#1
LiPm3Pd3 | Alexandria via LeMat-Bulk | PBE | optimized geometry; crystal system = monoclinic
1.0
3.880 -5.594 0.000
3.880 5.594 0.000
-0.773 0.000 7.526
Li Pm Pd
2 6 6
Direct
0.219 0.219 0.471
0.781 0.781 0.529
0.140 0.140 0.846
0.270 0.730 0.500
0.313 0.687 0.000
0.687 0.313 0.000
0.730 0.270 0.500
0.860 0.860 0.154
0.062 0.337 0.214
0.337 0.062 0.214
0.487 0.487 0.706
0.513 0.513 0.294
0.663 0.938 0.786
0.938 0.663 0.786


#2
LiPm3Pd3 | Alexandria via LeMat-Bulk | PBE | optimized geometry; crystal system = orthorhombic
1.0
2.105 -5.324 0.000
2.105 5.324 0.000
0.000 0.000 14.266
Li Pm Pd
2 6 6
Direct
0.000 0.000 0.000
0.000 0.000 0.500
0.026 0.974 0.750
0.299 0.701 0.605
0.299 0.701 0.895
0.701 0.299 0.105
0.701 0.299 0.395
0.974 0.026 0.250
0.254 0.746 0.250
0.415 0.585 0.089
0.415 0.585 0.411
0.585 0.415 0.589
0.585 0.415 0.911
0.746 0.254 0.750


Energy above the most stable structure, in eV/atom: #1 0.108; #2 0.000


#1
LiPm2Pd | Alexandria via LeMat-Bulk | PBE | optimized geometry; crystal system = trigonal
1.0
4.204 0.000 0.000
-2.102 3.641 0.000
0.000 0.000 23.636
Li Pm Pd
3 6 3
Direct
0.000 0.000 0.000
0.333 0.667 0.667
0.667 0.333 0.333
0.000 0.000 0.235
0.000 0.000 0.437
0.333 0.667 0.104
0.333 0.667 0.901
0.667 0.333 0.568
0.667 0.333 0.770
0.000 0.000 0.837
0.333 0.667 0.504
0.667 0.333 0.170


#2
LiPm2Pd | Alexandria via LeMat-Bulk | PBE | optimized geometry; crystal system = cubic
1.0
7.295 0.000 0.000
0.000 7.295 0.000
0.000 0.000 7.295
Li Pm Pd
4 8 4
Direct
0.000 0.000 0.000
0.000 0.500 0.500
0.500 0.000 0.500
0.500 0.500 0.000
0.250 0.250 0.250
0.250 0.250 0.750
0.250 0.750 0.250
0.250 0.750 0.750
0.750 0.250 0.250
0.750 0.250 0.750
0.750 0.750 0.250
0.750 0.750 0.750
0.000 0.000 0.500
0.000 0.500 0.000
0.500 0.000 0.000
0.500 0.500 0.500


#3
LiPm2Pd | Alexandria via LeMat-Bulk | PBE | optimized geometry; crystal system = trigonal
1.0
3.359 0.000 0.000
-1.679 2.909 0.000
0.000 0.000 32.809
Li Pm Pd
3 6 3
Direct
0.000 0.000 0.000
0.333 0.667 0.667
0.667 0.333 0.333
0.000 0.000 0.419
0.000 0.000 0.581
0.333 0.667 0.085
0.333 0.667 0.248
0.667 0.333 0.752
0.667 0.333 0.915
0.000 0.000 0.500
0.333 0.667 0.167
0.667 0.333 0.833


Energy above the most stable structure, in eV/atom: #1 0.122; #2 0.000; #3 0.480


#1
LiPmPdPt | Alexandria via LeMat-Bulk | PBE | optimized geometry; crystal system = cubic
1.0
6.768 0.000 0.000
0.000 6.768 0.000
0.000 0.000 6.768
Li Pm Pd Pt
4 4 4 4
Direct
0.000 0.000 0.000
0.000 0.500 0.500
0.500 0.000 0.500
0.500 0.500 0.000
0.000 0.000 0.500
0.000 0.500 0.000
0.500 0.000 0.000
0.500 0.500 0.500
0.250 0.250 0.250
0.250 0.750 0.750
0.750 0.250 0.750
0.750 0.750 0.250
0.250 0.250 0.750
0.250 0.750 0.250
0.750 0.250 0.250
0.750 0.750 0.750


#2
LiPmPdPt | Alexandria via LeMat-Bulk | PBE | optimized geometry; crystal system = orthorhombic
1.0
3.779 0.000 0.000
0.000 4.361 0.000
0.000 0.000 5.331
Li Pm Pd Pt
1 1 1 1
Direct
0.000 0.000 0.000
0.500 0.000 0.500
0.000 0.500 0.000
0.000 0.500 0.500


Energy above the most stable structure, in eV/atom: #1 0.000; #2 0.420